1.
Below is crystalline AcCuSbIr at its relaxed geometry, with properties calculated at the PBE level.

```
AcCuSbIr
1.0
-1.0831 0.0195 -4.8882
1.3747 -3.8549 -2.8841
-3.4618 -3.1321 -1.8095
Ir Ac Cu Sb
1 1 1 1
Cartesian
-2.3777 -5.2257 -7.1864 Ir
-1.5851 -3.4838 -4.7909 Ac
-0.7926 -1.7419 -2.3955 Cu
0.0000 0.0000 0.0000 Sb
```

Calculated values
N(E_F) = 2.805 states/eV per cell
Space group = F-43m, No. 216



2.
Below is crystalline AcScCuIr at its relaxed geometry, with properties calculated at the PBE level.

```
AcScCuIr
1.0
-0.7890 -2.2417 -4.3824
1.1976 -4.8027 -0.5945
-3.5922 -3.4294 -0.4346
Cu Sc Ac Ir
1 1 1 1
Cartesian
-0.7959 -2.6184 -1.3529 Cu
-1.5918 -5.2369 -2.7058 Sc
0.0000 0.0000 0.0000 Ac
-2.3877 -7.8553 -4.0587 Ir
```

Calculated values
N(E_F) = 3.832 states/eV per cell
Space group = F-43m, No. 216
Formation energy from the elements = -0.302 eV/atom



3.
Below is crystalline Ac4CuIrSe2 at its relaxed geometry, with properties calculated at the PBE level.

```
Ac4CuIrSe2
1.0
-2.0756 3.8179 0.1236
-5.1621 -2.9544 4.5737
5.9518 3.0850 4.6598
Ac Se Ir Cu
4 2 1 1
Cartesian
-2.4472 -1.4732 4.4105 Ac
-0.9828 1.8669 2.2829 Ac
3.2370 1.6038 4.8230 Ac
-0.3030 2.0815 7.0741 Ac
0.3949 0.0653 4.6168 Se
1.9381 3.4514 2.3917 Se
-3.6188 0.4317 2.3486 Ir
0.0000 0.0000 0.0000 Cu
```

Calculated values
N(E_F) = 3.732 states/eV per cell
Space group = P2/m, No. 10



4.
Below is crystalline Ac2CuSi3Ir4 at its relaxed geometry, with properties calculated at the PBE level.

```
Ac2CuSi3Ir4
1.0
-2.0853 2.6287 -2.5960
-3.6020 -2.1094 0.7575
-2.0024 6.2808 7.9685
Cu Ir Ac Si
1 4 2 3
Cartesian
-3.8449 3.4000 3.0650 Cu
-2.3119 5.2954 3.7528 Ir
0.0000 0.0000 0.0000 Ir
-2.5342 1.2450 3.2964 Ir
-2.8437 0.2597 -0.9192 Ir
-1.5580 2.9307 0.7527 Ac
-3.2881 3.6097 6.2966 Ac
-1.0012 3.1404 3.9843 Si
-2.0469 -0.2834 1.3573 Si
-2.7992 6.8238 5.6920 Si
```

Calculated values
N(E_F) = 4.583 states/eV per cell
Space group = P-4m2, No. 115



5.
Below is crystalline Ac2Cu6SiIr at its relaxed geometry, with properties calculated at the PBE level.

```
Ac2Cu6SiIr
1.0
-1.7980 -5.6087 1.6272
6.3300 -1.3602 2.2994
0.5896 -1.8167 5.8767
Cu Si Ac Ir
6 1 2 1
Cartesian
4.5443 -7.0182 8.4971 Cu
0.5773 -1.7674 1.3062 Cu
5.2811 -4.7116 7.8289 Cu
-0.1595 -4.0739 1.9743 Cu
0.7793 -2.5039 3.7124 Cu
4.3423 -6.2817 6.0909 Cu
0.0000 0.0000 0.0000 Si
3.9964 -3.1025 5.1968 Ac
1.1252 -5.6830 4.6064 Ac
2.2660 -3.4844 1.9633 Ir
```

Calculated values
N(E_F) = 7.097 states/eV per cell
Space group = C2/m, No. 12



6.
Below is crystalline Ac2CuSn4Ir3 at its relaxed geometry, with properties calculated at the PBE level.

```
Ac2CuSn4Ir3
1.0
-1.4026 -3.6456 2.5154
3.7117 0.4723 2.7541
-5.6026 6.5861 6.4213
Sn Ir Cu Ac
4 3 1 2
Cartesian
1.1546 -1.5867 2.6348 Sn
-0.2507 2.7125 3.7915 Sn
-4.1973 2.2869 5.2646 Sn
0.0000 0.0000 0.0000 Sn
-5.5736 3.9048 6.8419 Ir
1.1255 1.0947 2.2141 Ir
-2.8013 3.2930 3.2106 Ir
-1.6468 1.7064 5.8454 Cu
-2.3318 5.1589 6.1766 Ac
-2.1163 -0.1594 2.8794 Ac
```

Calculated values
N(E_F) = 7.148 states/eV per cell
Space group = P-4m2, No. 115
Formation energy from the elements = -0.546 eV/atom



7.
Below is crystalline AcTbCuIr at its relaxed geometry, with properties calculated at the PBE level.

```
AcTbCuIr
1.0
5.1078 0.0000 0.0000
2.5539 4.4235 0.0000
2.5539 1.4745 4.1705
Ac Tb Cu Ir
1 1 1 1
Cartesian
5.1078 2.9490 2.0853 Ac
0.0000 0.0000 0.0000 Tb
2.5539 1.4745 1.0426 Cu
7.6617 4.4235 3.1279 Ir
```

Calculated values
N(E_F) = 3.692 states/eV per cell
Space group = F-43m, No. 216
Formation energy from the elements = -0.373 eV/atom



8.
Below is crystalline Ac4CuTe2Ir at its relaxed geometry, with properties calculated at the PBE level.

```
Ac4CuTe2Ir
1.0
4.4451 0.0000 0.0000
0.0000 7.6869 0.1444
0.0000 -2.6825 8.0255
Te Ac Cu Ir
2 4 1 1
Cartesian
2.2225 -1.3412 4.0127 Te
0.0000 2.5022 4.0850 Te
0.0000 -0.0234 6.3686 Ac
2.2225 1.3500 1.7580 Ac
2.2225 3.6545 6.4119 Ac
0.0000 5.0279 1.8013 Ac
0.0000 0.0000 0.0000 Cu
2.2225 3.8435 0.0722 Ir
```

Calculated values
N(E_F) = 4.160 states/eV per cell
Space group = P2/m, No. 10



9.
Below is crystalline AcTmCuIr at its relaxed geometry, with properties calculated at the PBE level.

```
AcTmCuIr
1.0
-1.5363 2.3608 4.2168
-2.3383 -2.6155 3.6615
2.3661 -0.8722 4.3995
Cu Ir Ac Tm
1 1 1 1
Cartesian
-0.3771 -0.2817 3.0695 Cu
-1.1314 -0.8452 9.2084 Ir
-0.7542 -0.5635 6.1389 Ac
0.0000 0.0000 0.0000 Tm
```

Calculated values
N(E_F) = 3.227 states/eV per cell
Space group = F-43m, No. 216
Formation energy from the elements = -0.385 eV/atom



10.
Below is crystalline AcYCuIr at its relaxed geometry, with properties calculated at the PBE level.

```
AcYCuIr
1.0
-0.3657 -4.7929 1.7208
1.8546 -1.2091 4.6006
-3.1914 -1.1007 3.8302
Ir Cu Ac Y
1 1 1 1
Cartesian
-0.8513 -3.5514 5.0758 Ir
0.0000 0.0000 0.0000 Cu
-0.4256 -1.7757 2.5379 Ac
-1.2769 -5.3270 7.6137 Y
```

Calculated values
N(E_F) = 3.625 states/eV per cell
Space group = F-43m, No. 216
Formation energy from the elements = -0.371 eV/atom



11.
Below is crystalline Ac2Zn3Cu12Ir at its relaxed geometry, with properties calculated at the PBE level.

```
Ac2Zn3Cu12Ir
1.0
9.5834 1.9775 1.4026
6.4523 7.3566 1.4026
6.4523 3.7558 6.4793
Cu Ir Zn Ac
12 1 3 2
Cartesian
11.8998 6.9267 6.3977 Cu
17.2842 7.9443 7.8774 Cu
7.0441 1.9837 1.4071 Cu
9.3697 6.8551 4.8623 Cu
5.2037 3.0290 4.3910 Cu
5.2037 5.1455 1.4071 Cu
15.4438 11.1061 7.8774 Cu
17.2842 10.0608 4.8934 Cu
10.5881 6.1631 2.8868 Cu
10.5881 4.7620 4.8623 Cu
13.1182 6.2347 4.4222 Cu
11.8998 8.3279 4.4222 Cu
0.0000 0.0000 0.0000 Ir
3.2261 3.6783 0.7013 Zn
4.7917 0.9887 0.7013 Zn
3.2261 1.8779 3.2396 Zn
14.6327 8.5175 6.0414 Ac
7.8552 4.5724 3.2431 Ac
```

Calculated values
N(E_F) = 6.429 states/eV per cell
Space group = R-3m, No. 166
Formation energy from the elements = 0.093 eV/atom



12.
Below is crystalline AcZnCu2Ir at its relaxed geometry, with properties calculated at the PBE level.

```
AcZnCu2Ir
1.0
-3.2352 2.5191 -0.5192
-0.7953 -1.7837 -3.6984
-1.2744 -4.0779 4.6056
Zn Ac Cu Ir
1 1 2 1
Cartesian
-1.6505 -2.3048 -0.8983 Zn
-2.8416 -3.2048 2.1567 Ac
-2.8832 -0.1678 0.7009 Cu
-0.4148 -0.4678 0.3148 Cu
-4.2155 -2.1138 -0.4388 Ir
```

Calculated values
N(E_F) = 2.020 states/eV per cell
Space group = Imm2, No. 44
Formation energy from the elements = -0.259 eV/atom



13.
Below is crystalline Ac2Zn6CuIr at its relaxed geometry, with properties calculated at the PBE level.

```
Ac2Zn6CuIr
1.0
-5.4315 -1.4711 3.2411
3.6820 -0.9177 5.7533
-1.6795 3.4157 5.2440
Zn Cu Ac Ir
6 1 2 1
Cartesian
-0.8501 -0.2572 2.1853 Zn
-1.8621 -0.1773 9.8122 Zn
-2.5789 1.2841 12.0531 Zn
-0.2589 1.9137 10.6685 Zn
-3.1701 -0.8869 3.5699 Zn
-1.5669 1.2042 4.4262 Zn
0.0000 0.0000 0.0000 Cu
-3.6870 0.0001 6.8315 Ac
0.2580 1.0267 7.4069 Ac
-0.8747 -1.1944 4.4972 Ir
```

Calculated values
N(E_F) = 6.378 states/eV per cell
Space group = C2/m, No. 12
Formation energy from the elements = -0.264 eV/atom



14.
Below is crystalline KAcCu2O4 at its relaxed geometry, with properties calculated at the PBE level.

```
KAcCu2O4
1.0
3.9904 0.0000 0.0000
0.0000 3.9904 0.0000
0.0000 0.0000 7.4911
K O Cu Ac
1 4 2 1
Cartesian
0.0000 0.0000 3.7455 K
1.9952 0.0000 1.6579 O
1.9952 0.0000 5.8332 O
0.0000 1.9952 1.6579 O
0.0000 1.9952 5.8332 O
1.9952 1.9952 1.8134 Cu
1.9952 1.9952 5.6776 Cu
0.0000 0.0000 0.0000 Ac
```

Calculated values
N(E_F) = 2.682 states/eV per cell
Space group = P4/mmm, No. 123



15.
Below is crystalline K4Ac3CuO8 at its relaxed geometry, with properties calculated at the PBE level.

```
K4Ac3CuO8
1.0
-1.8978 -2.3149 -6.4972
2.2245 -6.7983 1.7724
-5.4987 2.8640 4.5239
O K Ac Cu
8 4 3 1
Cartesian
-2.1117 -5.1722 -1.4785 O
-3.0420 -2.1328 -2.2897 O
-4.0104 -2.1096 4.3183 O
-1.1617 -4.1396 -4.5192 O
-0.0074 -2.7317 -0.5675 O
-3.0603 -1.0770 1.2776 O
-5.1647 -3.5176 0.3666 O
-2.1300 -4.1165 2.0888 O
-0.9489 -1.1574 -3.2486 K
0.0000 0.0000 0.0000 K
-2.7494 1.4320 2.2620 K
-3.6983 0.2746 -0.9866 K
0.1633 -4.5566 -2.3624 Ac
-1.6371 -1.9672 3.1482 Ac
-2.5860 -3.1246 -0.1004 Ac
1.1122 -3.3992 0.8862 Cu
```

Calculated values
Space group = C2/m, No. 12



16.
Below is crystalline KAc2CuO4 at its relaxed geometry, with properties calculated at the PBE level.

```
KAc2CuO4
1.0
-2.6379 1.6090 2.4267
0.4620 -6.7129 1.7728
8.7553 2.6516 7.7593
O Ac Cu K
8 4 2 2
Cartesian
0.4368 -2.6418 2.2265 O
3.0992 -1.8355 4.5860 O
0.7545 0.6724 3.5549 O
6.1425 0.1895 9.7322 O
0.0000 0.0000 0.0000 O
4.3776 1.3258 3.8796 O
5.8248 -3.1247 8.4038 O
3.4802 -0.6168 7.3727 O
2.2749 0.4500 5.3552 Ac
-0.9730 -0.5337 2.4767 Ac
7.5523 -1.9186 9.4820 Ac
4.3044 -2.9023 6.6035 Ac
1.7707 -2.2196 3.3966 Cu
4.8086 -0.2326 8.5621 Cu
0.1241 -3.6739 5.7516 K
6.4552 1.2216 6.2071 K
```

Calculated values
N(E_F) = 0.000 states/eV per cell
Space group = Cmcm, No. 63



17.
Below is crystalline KAcCuO2 at its relaxed geometry, with properties calculated at the PBE level.

```
KAcCuO2
1.0
5.9495 0.0000 0.0000
0.0000 7.6323 -0.7328
0.0000 -3.1955 6.9788
K Cu O Ac
2 2 4 2
Cartesian
0.9527 3.0172 1.3783 K
4.9969 1.4195 4.8677 K
0.0000 0.0000 0.0000 Cu
0.0000 -1.5978 3.4894 Cu
1.6654 0.6873 0.3144 O
1.6654 5.3472 2.4422 O
4.2842 -0.9105 3.8038 O
4.2842 3.7494 5.9316 O
2.9758 -2.3966 5.2341 Ac
2.9737 -0.7989 1.7447 Ac
```

Calculated values
N(E_F) = 2.255 states/eV per cell
Space group = Cmme, No. 67



18.
Below is crystalline KAcCu4O6 at its relaxed geometry, with properties calculated at the PBE level.

```
KAcCu4O6
1.0
-1.1731 -1.3802 5.2450
-0.5059 -3.7697 -4.0404
6.8559 -1.9997 1.0072
O Ac Cu K
6 1 4 1
Cartesian
1.7992 -2.4834 -1.7187 O
4.5508 -3.2860 -1.3145 O
3.9642 -3.9761 1.3080 O
1.4656 -1.2887 2.9240 O
1.2126 -3.1735 0.9038 O
4.2172 -2.0912 3.3282 O
3.4279 -0.9999 0.5036 Ac
4.9052 -4.6163 -0.1176 Cu
0.4940 -3.3297 -0.7657 Cu
4.6828 -3.8199 2.9775 Cu
0.2716 -2.5332 2.3294 Cu
0.0000 0.0000 0.0000 K
```

Calculated values
N(E_F) = 7.690 states/eV per cell
Space group = P6/mmm, No. 191



19.
Below is crystalline K2AcCuO4 at its relaxed geometry, with properties calculated at the PBE level.

```
K2AcCuO4
1.0
5.5851 0.1103 0.1690
-2.2800 5.0998 -0.1690
-2.2800 -2.2071 4.6006
O K Ac Cu
4 2 1 1
Cartesian
-1.0499 2.3967 3.2582 O
1.7462 0.8149 1.6619 O
-1.9443 -0.1187 3.1857 O
3.2984 2.9132 1.0953 O
0.5126 3.3282 1.1079 K
0.0000 0.0000 0.0000 K
0.5126 -0.3252 3.4927 Ac
-2.2800 1.4464 2.2158 Cu
```

Calculated values
Space group = I-4, No. 82



20.
Below is crystalline K2AcCu3O6 at its relaxed geometry, with properties calculated at the PBE level.

```
K2AcCu3O6
1.0
-2.0070 3.1969 1.1190
-3.1692 -1.3134 -1.9318
-3.6612 -5.7754 9.9329
O K Cu Ac
6 2 3 1
Cartesian
-2.9113 -2.7495 2.6335 O
-3.9191 -4.3393 5.3676 O
-3.3380 -2.0841 6.8930 O
-2.3302 -0.4944 4.1589 O
-3.1366 -4.9479 8.5097 O
-0.5246 -0.8275 1.4232 O
-3.2682 -0.1312 1.4388 K
-5.5692 -3.7608 7.6813 K
-1.2095 -1.9080 3.2815 Cu
0.0000 0.0000 0.0000 Cu
-2.4517 -3.8674 6.6514 Cu
-4.4187 -1.9460 4.5600 Ac
```

Calculated values
N(E_F) = 8.924 states/eV per cell
Space group = P4/mmm, No. 123



| no. | calculated total energy (Ry per atom) |
| --- | --- |
| 1 | -0.40153 |
| 2 | -0.45210 |
| 3 | -0.41564 |
| 4 | -0.52933 |
| 5 | -0.36017 |
| 6 | -0.44368 |
| 7 | -0.42605 |
| 8 | -0.39735 |
| 9 | -0.42401 |
| 10 | -0.45961 |
| 11 | -0.27924 |
| 12 | -0.34886 |
| 13 | -0.23121 |
| 14 | -0.42160 |
| 15 | -0.42929 |
| 16 | -0.47962 |
| 17 | -0.40502 |
| 18 | -0.36181 |
| 19 | -0.40076 |
| 20 | -0.39211 |